(a)
# Ni17W12

A geometry-optimized Ni17W12 structure (PBE, the Open Quantum Materials Database).

Results
total moment	0.0	μB per cell
symmetry	No. 217

Lattice parameters (Å, degrees): 8.0062 8.0062 8.0062 109.47 109.47 109.47
Closest atoms and distances in Å follow each position.
Fractional positions:
W: 0.1984 0.0000 0.3899  5 Ni 2.41-2.64, 3 W 2.50-2.59
Ni: 0.7223 0.3131 0.3131  5 W 2.41-2.64, 1 Ni 2.66
Ni: 0.4093 0.0000 0.6869  5 W 2.41-2.64, 1 Ni 2.66
Ni: 0.0000 0.0000 0.0000  4 Ni 2.68, 12 W 2.99
Ni: 0.3131 0.3131 0.7223  5 W 2.41-2.64, 1 Ni 2.66
Ni: 0.6869 0.0000 0.4093  5 W 2.41-2.64, 1 Ni 2.66
W: 0.1915 0.8016 0.8016  5 Ni 2.41-2.64, 3 W 2.50-2.59
W: 0.8085 0.6101 0.6101  5 Ni 2.41-2.64, 3 W 2.50-2.59
Ni: 0.0000 0.6652 0.0000  4 Ni 2.66-2.68, 6 W 2.78
W: 0.6101 0.6101 0.8085  5 Ni 2.41-2.64, 3 W 2.50-2.59
W: 0.6101 0.8085 0.6101  5 Ni 2.41-2.64, 3 W 2.50-2.59
Ni: 0.4093 0.6869 0.0000  5 W 2.41-2.64, 1 Ni 2.66
Ni: 0.5907 0.5907 0.2777  5 W 2.41-2.64, 1 Ni 2.66
Ni: 0.0000 0.4093 0.6869  5 W 2.41-2.64, 1 Ni 2.66
W: 0.8016 0.8016 0.1915  5 Ni 2.41-2.64, 3 W 2.50-2.59
Ni: 0.6652 0.0000 0.0000  4 Ni 2.66-2.68, 6 W 2.78
Ni: 0.0000 0.0000 0.6652  4 Ni 2.66-2.68, 6 W 2.78
Ni: 0.3131 0.7223 0.3131  5 W 2.41-2.64, 1 Ni 2.66
W: 0.1984 0.3899 0.0000  5 Ni 2.41-2.64, 3 W 2.50-2.59
Ni: 0.2777 0.5907 0.5907  5 W 2.41-2.64, 1 Ni 2.66
Ni: 0.0000 0.6869 0.4093  5 W 2.41-2.64, 1 Ni 2.66
W: 0.3899 0.0000 0.1984  5 Ni 2.41-2.64, 3 W 2.50-2.59
W: 0.8016 0.1915 0.8016  5 Ni 2.41-2.64, 3 W 2.50-2.59
W: 0.3899 0.1984 0.0000  5 Ni 2.41-2.64, 3 W 2.50-2.59
W: 0.0000 0.1984 0.3899  5 Ni 2.41-2.64, 3 W 2.50-2.59
Ni: 0.6869 0.4093 0.0000  5 W 2.41-2.64, 1 Ni 2.66
Ni: 0.3348 0.3348 0.3348  4 Ni 2.66-2.68, 6 W 2.78
Ni: 0.5907 0.2777 0.5907  5 W 2.41-2.64, 1 Ni 2.66
W: 0.0000 0.3899 0.1984  5 Ni 2.41-2.64, 3 W 2.50-2.59

***

(b)
# Ni17W12

A geometry-optimized Ni17W12 structure (PBE, the Open Quantum Materials Database).

Results
total moment	0.2	μB per cell
symmetry	No. 217

Lattice parameters (Å, degrees): 7.9089 7.9089 7.9089 109.47 109.47 109.47
Closest atoms and distances in Å follow each position.
Fractional positions:
Ni: 0.0000 0.1873 0.3679  3 Ni 2.33-2.42, 3 W 2.54-2.59
Ni: 0.3679 0.0000 0.1873  3 Ni 2.33-2.42, 3 W 2.54-2.59
Ni: 0.1873 0.3679 0.0000  3 Ni 2.33-2.42, 3 W 2.54-2.59
Ni: 0.3679 0.1873 0.0000  3 Ni 2.33-2.42, 3 W 2.54-2.59
Ni: 0.8194 0.6321 0.6321  3 Ni 2.33-2.42, 3 W 2.54-2.59
Ni: 0.6321 0.6321 0.8194  3 Ni 2.33-2.42, 3 W 2.54-2.59
W: 0.5952 0.5952 0.2903  6 Ni 2.54-2.71, 6 W 2.76-2.80
Ni: 0.6321 0.8194 0.6321  3 Ni 2.33-2.42, 3 W 2.54-2.59
Ni: 0.6673 0.0000 0.0000  3 W 2.61, 7 Ni 2.63-2.65
Ni: 0.0000 0.0000 0.6673  3 W 2.61, 7 Ni 2.63-2.65
W: 0.3049 0.3049 0.7097  6 Ni 2.54-2.71, 6 W 2.76-2.80
Ni: 0.1873 0.0000 0.3679  3 Ni 2.33-2.42, 3 W 2.54-2.59
Ni: 0.8127 0.1806 0.8127  3 Ni 2.33-2.42, 3 W 2.54-2.59
W: 0.4048 0.0000 0.6951  6 Ni 2.54-2.71, 6 W 2.76-2.80
Ni: 0.0000 0.0000 0.0000  16 Ni 2.63-2.79
W: 0.2903 0.5952 0.5952  6 Ni 2.54-2.71, 6 W 2.76-2.80
Ni: 0.3327 0.3327 0.3327  3 W 2.61, 7 Ni 2.63-2.65
W: 0.6951 0.4048 0.0000  6 Ni 2.54-2.71, 6 W 2.76-2.80
W: 0.0000 0.4048 0.6951  6 Ni 2.54-2.71, 6 W 2.76-2.80
Ni: 0.0000 0.6673 0.0000  3 W 2.61, 7 Ni 2.63-2.65
W: 0.3049 0.7097 0.3049  6 Ni 2.54-2.71, 6 W 2.76-2.80
W: 0.5952 0.2903 0.5952  6 Ni 2.54-2.71, 6 W 2.76-2.80
W: 0.6951 0.0000 0.4048  6 Ni 2.54-2.71, 6 W 2.76-2.80
W: 0.0000 0.6951 0.4048  6 Ni 2.54-2.71, 6 W 2.76-2.80
W: 0.4048 0.6951 0.0000  6 Ni 2.54-2.71, 6 W 2.76-2.80
Ni: 0.8127 0.8127 0.1806  3 Ni 2.33-2.42, 3 W 2.54-2.59
Ni: 0.1806 0.8127 0.8127  3 Ni 2.33-2.42, 3 W 2.54-2.59
Ni: 0.0000 0.3679 0.1873  3 Ni 2.33-2.42, 3 W 2.54-2.59
W: 0.7097 0.3049 0.3049  6 Ni 2.54-2.71, 6 W 2.76-2.80

***

Order of stability, best first: (b), (a)